Entry 1:
First-principles (PBE) data for a relaxed structure of KAs, as listed in the Alexandria database.

abc: 3.3976 3.3976 5.4405
angles: 90.00 90.00 120.00
With the nearest neighbours (Å) after each atom.
Fractional positions:
K  0.0000  0.0000  0.0000  6 As 3.35, 6 K 3.40
As  0.6667  0.3333  0.5000  6 K 3.35, 6 As 3.40

## Properties
energy relative to the lowest polymorph listed for this composition: 0.539 eV per atom
formation enthalpy at 0 K: 15 kJ/mol of formula units
SG: No. 187


Entry 2:
First-principles (PBE) data for a relaxed structure of TmLu2Cu, as listed in the Alexandria database.

abc: 3.4078 3.4078 8.5389
angles: 90.00 90.00 90.00
With the nearest neighbours (Å) after each atom.
Fractional positions:
Tm  0.0000  0.0000  0.0000  4 Tm 3.41, 8 Lu 3.53
Lu  0.5000  0.5000  0.3018  4 Cu 2.94
Lu  0.5000  0.5000  0.6982  4 Cu 2.94
Cu  0.0000  0.0000  0.5000  8 Lu 2.94

## Properties
energy relative to the lowest polymorph listed for this composition: 0.000 eV per atom
formation enthalpy at 0 K: -45 kJ/mol of formula units
SG: No. 123


Entry 3:
First-principles (PBE) data for a relaxed structure of LaTl2AsCl, as listed in the Alexandria database.

abc: 5.5106 5.5106 5.5497
angles: 90.00 90.00 90.00
With the nearest neighbours (Å) after each atom.
Fractional positions:
La  0.0000  0.0000  0.0000  2 Cl 2.77
Tl  0.0000  0.5000  0.5000  2 Cl 2.76
Tl  0.5000  0.0000  0.5000  2 Cl 2.76
As  0.5000  0.5000  0.0000  4 La 3.90, 8 Tl 3.91
Cl  0.0000  0.0000  0.5000  4 Tl 2.76, 2 La 2.77

## Properties
SG: No. 123
formation energy (no corrections): -181 meV/atom


Entry 4:
First-principles (PBE) data for a relaxed structure of BaAl4Zn, as listed in the Alexandria database.

abc: 5.7809 5.7809 5.7809
angles: 60.00 60.00 60.00
With the nearest neighbours (Å) after each atom.
Fractional positions:
Ba  0.0000  0.0000  0.0000  12 Al 3.39, 4 Zn 3.54
Al  0.3751  0.3751  0.3751  6 Al 2.89
Al  0.3751  0.3751  0.8747  6 Al 2.89
Al  0.3751  0.8747  0.3751  6 Al 2.89
Al  0.8747  0.3751  0.3751  6 Al 2.89
Zn  0.7500  0.7500  0.7500  12 Al 3.39, 4 Ba 3.54

## Properties
formation enthalpy at 0 K: 53 kJ/mol of formula units
SG: No. 216


Entry 5:
First-principles (PBE) data for a relaxed structure of Na4HgPb, as listed in the Alexandria database.

abc: 3.5502 5.5328 8.9375
angles: 90.00 101.58 90.00
With the nearest neighbours (Å) after each atom.
Fractional positions:
Na  0.0000  0.0000  0.0000  6 Na 3.33-3.55, 2 Pb 3.44, 4 Hg 3.46
Na  0.1063  0.5000  0.2119  6 Na 3.33-3.55, 2 Hg 3.42-3.43, 4 Pb 3.46
Na  0.3311  0.0000  0.6611  2 Pb 3.35, 2 Hg 3.35, 8 Na 3.40-3.55
Na  0.7799  0.5000  0.5608  2 Hg 3.29, 2 Pb 3.39, 8 Na 3.40-3.55
Hg  0.4394  0.5000  0.8772  10 Na 3.29-3.46, 2 Hg 3.55
Pb  0.6688  0.0000  0.3365  10 Na 3.35-3.46, 2 Pb 3.55

## Properties
energy relative to the lowest polymorph listed for this composition: 0.000 eV per atom
formation enthalpy at 0 K: -88 kJ/mol of formula units
SG: No. 6


Entry 6:
First-principles (PBE) data for a relaxed structure of SrMg2I6, as listed in the Alexandria database.

abc: 10.2239 10.2239 9.5539
angles: 107.06 107.06 24.55
With the nearest neighbours (Å) after each atom.
Fractional positions:
Sr  0.0000  0.0000  0.0000  6 I 3.26-3.29
Mg  0.3281  0.3281  0.6578  6 I 2.93-2.99
Mg  0.6719  0.6719  0.3422  6 I 2.93-2.99
I  0.1725  0.1725  0.1276  2 Mg 2.99, 1 Sr 3.29
I  0.1745  0.1745  0.5585  3 Mg 2.93-2.99
I  0.4843  0.4843  0.7372  1 Mg 2.98, 2 Sr 3.26
I  0.5157  0.5157  0.2628  1 Mg 2.98, 2 Sr 3.26
I  0.8255  0.8255  0.4415  3 Mg 2.93-2.99
I  0.8275  0.8275  0.8724  2 Mg 2.99, 1 Sr 3.29

## Properties
energy relative to the lowest polymorph listed for this composition: 0.000 eV per atom
SG: No. 12
formation energy (no corrections): -1244 meV/atom


Entry 7:
First-principles (PBE) data for a relaxed structure of CeGa2Ni, as listed in the Alexandria database.

abc: 8.9849 8.9849 4.1332
angles: 90.00 90.00 153.06
With the nearest neighbours (Å) after each atom.
Fractional positions:
Ce  0.1418  0.8582  0.0000  4 Ni 3.17, 10 Ga 3.18-3.31
Ce  0.8582  0.1418  0.0000  4 Ni 3.17, 10 Ga 3.18-3.31
Ga  0.0000  0.0000  0.5000  4 Ni 2.46
Ga  0.2897  0.7103  0.5000  1 Ni 2.38, 2 Ga 2.51
Ga  0.5000  0.5000  0.0000  4 Ni 2.44
Ga  0.7103  0.2897  0.5000  1 Ni 2.38, 2 Ga 2.51
Ni  0.4260  0.5740  0.5000  5 Ga 2.38-2.46, 1 Ni 2.59
Ni  0.5740  0.4260  0.5000  5 Ga 2.38-2.46, 1 Ni 2.59

## Properties
formation enthalpy at 0 K: -227 kJ/mol of formula units
SG: No. 65


Entry 8:
First-principles (PBE) data for a relaxed structure of LaErCoI, as listed in the Alexandria database.

abc: 8.4109 8.4109 8.4109
angles: 27.50 27.50 27.50
With the nearest neighbours (Å) after each atom.
Fractional positions:
La  0.0000  0.0000  0.0000  3 Co 2.73
Er  0.2140  0.2140  0.2140  3 Co 2.72
Co  0.6063  0.6063  0.6063  3 Er 2.72, 3 La 2.73
I  0.7802  0.7802  0.7802  3 Er 3.36, 3 La 3.59

## Properties
SG: No. 160
formation energy (no corrections): -617 meV/atom


Entry 9:
First-principles (PBE) data for a relaxed structure of Sc3GaPt, as listed in the Alexandria database.

abc: 5.0592 5.0592 5.0592
angles: 90.00 90.00 90.00
With the nearest neighbours (Å) after each atom.
Fractional positions:
Sc  0.0000  0.0000  0.5000  2 Pt 2.53
Sc  0.0000  0.5000  0.0000  2 Pt 2.53
Sc  0.5000  0.0000  0.0000  2 Pt 2.53
Ga  0.5000  0.5000  0.5000  12 Sc 3.58
Pt  0.0000  0.0000  0.0000  6 Sc 2.53

## Properties
energy relative to the lowest polymorph listed for this composition: 0.000 eV per atom
formation enthalpy at 0 K: -130 kJ/mol of formula units
SG: No. 221


Entry 10:
First-principles (PBE) data for a relaxed structure of AlInBi, as listed in the Alexandria database.

abc: 3.3053 6.7870 7.5099
angles: 80.23 84.55 78.57
With the nearest neighbours (Å) after each atom.
Fractional positions:
Al  0.1756  0.1683  0.4700  2 Al 2.71-2.81, 1 Bi 2.87, 1 In 2.95
Al  0.8244  0.8317  0.5300  2 Al 2.71-2.81, 1 Bi 2.87, 1 In 2.95
In  0.2849  0.8703  0.8637  3 Al 2.95-3.29, 3 In 3.16-3.31
In  0.7151  0.1297  0.1363  3 Al 2.95-3.29, 3 In 3.16-3.31
Bi  0.0440  0.4072  0.7582  2 Al 2.87-3.08
Bi  0.9560  0.5928  0.2418  2 Al 2.87-3.08

## Properties
energy relative to the lowest polymorph listed for this composition: 0.013 eV per atom
formation enthalpy at 0 K: 36 kJ/mol of formula units
SG: No. 2


Entry 11:
First-principles (PBE) data for a relaxed structure of LaScTi2As, as listed in the Alexandria database.

abc: 4.7747 4.7747 5.2059
angles: 90.00 90.00 90.00
With the nearest neighbours (Å) after each atom.
Fractional positions:
La  0.0000  0.0000  0.0000  4 As 3.38, 8 Ti 3.53
Sc  0.5000  0.5000  0.5000  4 Ti 2.39, 2 As 2.60
Ti  0.0000  0.5000  0.5000  2 Sc 2.39
Ti  0.5000  0.0000  0.5000  2 Sc 2.39
As  0.5000  0.5000  0.0000  2 Sc 2.60

## Properties
formation enthalpy at 0 K: 191 kJ/mol of formula units
SG: No. 123


Entry 12:
First-principles (PBE) data for a relaxed structure of Sr2BrO5, as listed in the Alexandria database.

abc: 5.4918 5.4918 5.4918
angles: 115.51 115.51 97.98
With the nearest neighbours (Å) after each atom.
Fractional positions:
Sr  0.0000  0.5000  0.5000  10 O 2.66-2.93
Sr  0.5000  0.0000  0.5000  10 O 2.66-2.93
Br  0.2562  0.2562  0.0000  5 O 1.70-1.88
O  0.0047  0.0047  0.5495  1 Br 1.88
O  0.0047  0.4552  0.0000  1 Br 1.88
O  0.4552  0.0047  0.0000  1 Br 1.88
O  0.4552  0.4552  0.4505  1 Br 1.88
O  0.4918  0.4918  0.0000  1 Br 1.70

## Properties
SG: No. 107
formation energy (no corrections): -1311 meV/atom


E values, unit eV/atom, following the record order: -2.80 -4.52 -3.41 -2.94 -1.70 -2.82 -5.03 -5.15 -5.88 -3.33 -5.94 -5.04.
Density of states at the Fermi level values, unit states/eV/cell, following the record order: 1.52 5.00 4.75 5.06 3.05 0.00 10.27 0.93 9.93 2.32 6.27 1.67.